No. 1
This record from Alexandria describes crystalline SrCa7Ac3 at its relaxed geometry. The functional is GGA-PBE.

POSCAR file:
```
SrCa7Ac3
1.0
7.811 0.000 0.000
-3.906 6.765 0.000
0.000 0.000 9.662
Sr Ca Ac
1 7 3
Cartesian
0.000 0.000 0.000 Sr
0.000 4.510 6.577 Ca
1.990 1.149 6.482 Ca
3.906 0.021 0.079 Ca
1.971 3.372 0.079 Ca
5.821 1.149 6.482 Ca
3.906 4.467 6.482 Ca
5.840 3.372 0.079 Ca
0.000 2.271 3.318 Ac
-1.939 5.629 3.318 Ac
1.939 5.629 3.318 Ac
```

Computed properties:
SG = P3m1 (156)
density of states at the Fermi level = 1.508 states/eV/atom
ΔH_f (0 K) = 0.174 eV/atom
size of the total moment = 0.09 μB/f.u.
crystal system = trigonal
volume = 46.41 A^3/atom

No. 2
This record from Alexandria describes crystalline Sr2Ca8Ac at its relaxed geometry. The functional is GGA-PBE.

POSCAR file:
```
Sr2Ca8Ac
1.0
5.463 0.000 0.000
0.000 5.463 0.000
0.000 0.000 17.309
Sr Ca Ac
2 8 1
Cartesian
0.000 0.000 2.966 Sr
0.000 0.000 14.344 Sr
0.000 2.732 0.000 Ca
0.000 2.732 5.838 Ca
0.000 2.732 11.471 Ca
2.732 0.000 0.000 Ca
2.732 0.000 5.838 Ca
2.732 0.000 11.471 Ca
2.732 2.732 2.886 Ca
2.732 2.732 14.423 Ca
0.000 0.000 8.655 Ac
```

Computed properties:
SG = P4/mmm (123)
density of states at the Fermi level = 1.255 states/eV/atom
excess energy over the best structure of this formula in the dataset = 2.18 kJ per mole of atoms
ΔH_f (0 K) = 0.163 eV/atom
size of the total moment = 0.00 μB/f.u.
crystal system = tetragonal
volume = 46.97 A^3/atom

No. 3
This record from Alexandria describes crystalline SrCa8Ac6 at its relaxed geometry. The functional is GGA-PBE.

POSCAR file:
```
SrCa8Ac6
1.0
4.878 2.816 8.088
-4.878 2.816 8.088
0.000 -5.633 8.088
Sr Ca Ac
1 8 6
Cartesian
0.000 0.000 0.000 Sr
-3.354 -1.105 12.925 Ca
-0.720 -3.457 11.337 Ca
-2.634 2.352 11.337 Ca
0.000 0.000 10.250 Ca
0.000 0.000 14.013 Ca
2.634 -2.352 12.925 Ca
0.720 3.457 12.925 Ca
3.354 1.105 11.338 Ca
-0.994 -1.981 7.071 Ac
-1.219 1.851 7.071 Ac
-2.212 -0.130 17.191 Ac
2.212 0.130 7.071 Ac
1.219 -1.851 17.191 Ac
0.994 1.981 17.191 Ac
```

Computed properties:
SG = R-3 (148)
density of states at the Fermi level = 1.856 states/eV/atom
ΔH_f (0 K) = 0.116 eV/atom
size of the total moment = 0.00 μB/f.u.
crystal system = trigonal
volume = 44.45 A^3/atom

No. 4
This record from Alexandria describes crystalline SrCa4Ac at its relaxed geometry. The functional is GGA-PBE.

POSCAR file:
```
SrCa4Ac
1.0
6.386 0.000 0.000
0.000 12.900 0.000
-0.023 0.000 6.384
Sr Ca Ac
2 8 2
Cartesian
0.000 0.000 0.000 Sr
3.193 6.450 0.000 Sr
-0.012 2.261 3.192 Ca
0.000 4.258 0.000 Ca
0.000 8.643 0.000 Ca
-0.012 10.639 3.192 Ca
3.193 2.192 0.000 Ca
3.182 4.189 3.192 Ca
3.182 8.711 3.192 Ca
3.193 10.708 0.000 Ca
-0.012 6.450 3.192 Ac
3.182 0.000 3.192 Ac
```

Computed properties:
SG = C2/m (12)
density of states at the Fermi level = 1.364 states/eV/atom
excess energy over the best structure of this formula in the dataset = 1.13 kJ per mole of atoms
ΔH_f (0 K) = 0.042 eV/atom
size of the total moment = 0.00 μB/f.u.
crystal system = monoclinic
volume = 43.83 A^3/atom

No. 5
This record from Alexandria describes crystalline Sr2Ca5Ac4 at its relaxed geometry. The functional is GGA-PBE.

POSCAR file:
```
Sr2Ca5Ac4
1.0
9.195 -3.160 0.000
9.195 3.160 0.000
-4.787 0.000 8.427
Sr Ca Ac
2 5 4
Cartesian
-0.164 0.000 1.953 Sr
13.767 0.000 6.474 Sr
3.522 0.000 1.229 Ca
3.047 0.000 4.902 Ca
6.802 0.000 4.214 Ca
10.556 0.000 3.526 Ca
10.082 0.000 7.199 Ca
-0.763 0.000 5.910 Ac
7.183 0.000 0.348 Ac
6.421 0.000 8.080 Ac
14.367 0.000 2.517 Ac
```

Computed properties:
SG = C2/m (12)
density of states at the Fermi level = 1.292 states/eV/atom
ΔH_f (0 K) = 0.059 eV/atom
size of the total moment = 0.00 μB/f.u.
crystal system = monoclinic
volume = 44.53 A^3/atom

No. 6
This record from Alexandria describes crystalline SrCa3Ac12 at its relaxed geometry. The functional is GGA-PBE.

POSCAR file:
```
SrCa3Ac12
1.0
5.627 0.000 0.000
0.000 5.627 0.000
0.000 0.000 22.494
Sr Ca Ac
1 3 12
Cartesian
0.000 0.000 0.000 Sr
0.000 0.000 5.672 Ca
0.000 0.000 11.247 Ca
0.000 0.000 16.822 Ca
0.000 2.814 2.886 Ac
0.000 2.814 8.460 Ac
0.000 2.814 14.034 Ac
0.000 2.814 19.608 Ac
2.814 0.000 2.886 Ac
2.814 0.000 8.460 Ac
2.814 0.000 14.034 Ac
2.814 0.000 19.608 Ac
2.814 2.814 0.000 Ac
2.814 2.814 5.680 Ac
2.814 2.814 11.247 Ac
2.814 2.814 16.814 Ac
```

Computed properties:
SG = P4/mmm (123)
density of states at the Fermi level = 1.462 states/eV/atom
ΔH_f (0 K) = 0.035 eV/atom
size of the total moment = 0.00 μB/f.u.
crystal system = tetragonal
volume = 44.52 A^3/atom

No. 7
This record from Alexandria describes crystalline Sr3Ca9Ac at its relaxed geometry. The functional is GGA-PBE.

POSCAR file:
```
Sr3Ca9Ac
1.0
9.635 -3.712 0.000
9.635 3.712 0.000
-9.308 0.000 16.628
Sr Ca Ac
6 18 2
Cartesian
4.981 3.032 8.314 Sr
1.929 1.301 6.377 Sr
-2.725 -1.301 14.691 Sr
9.177 0.987 7.055 Sr
4.523 -0.987 15.369 Sr
9.635 -3.032 0.000 Sr
1.742 2.803 10.604 Ca
-1.138 2.277 13.565 Ca
-1.166 0.937 9.569 Ca
2.825 2.865 14.174 Ca
9.870 2.819 3.391 Ca
6.831 1.126 1.095 Ca
5.869 0.952 4.667 Ca
3.488 -0.937 1.255 Ca
4.625 0.747 11.718 Ca
2.178 -1.126 9.409 Ca
1.215 -0.952 12.981 Ca
8.110 1.151 10.796 Ca
3.516 -2.277 5.251 Ca
9.278 -0.747 3.404 Ca
6.395 -2.803 2.290 Ca
12.764 -1.151 2.482 Ca
7.479 -2.865 5.859 Ca
5.216 -2.819 11.705 Ca
0.977 0.601 16.567 Ac
5.631 -0.601 8.253 Ac
```

Computed properties:
SG = Cc (9)
density of states at the Fermi level = 1.400 states/eV/atom
ΔH_f (0 K) = 0.075 eV/atom
size of the total moment = 0.00 μB/f.u.
crystal system = monoclinic
volume = 45.75 A^3/atom

No. 8
This record from Alexandria describes crystalline Sr6CaAc at its relaxed geometry. The functional is GGA-PBE.

POSCAR file:
```
Sr6CaAc
1.0
7.474 0.000 0.000
0.006 7.476 0.000
0.010 0.019 7.476
Sr Ca Ac
6 1 1
Cartesian
7.475 0.006 1.863 Sr
0.015 7.488 5.613 Sr
1.877 3.740 0.000 Sr
3.744 1.873 3.732 Sr
3.745 5.622 3.744 Sr
5.612 3.754 7.476 Sr
0.008 3.747 3.738 Ca
3.737 0.000 0.000 Ac
```

Computed properties:
SG = P-1 (2)
density of states at the Fermi level = 1.057 states/eV/atom
excess energy over the best structure of this formula in the dataset = 0.00 kJ per mole of atoms
ΔH_f (0 K) = 0.090 eV/atom
size of the total moment = 0.54 μB/f.u.
crystal system = triclinic
volume = 52.22 A^3/atom